Entry from Alexandria via LeMat-Bulk: Sr4TlRh after structural relaxation (PBE).

a b c (Å): 6.7022 6.7022 6.7022
angles (deg): 60.00 60.00 60.00
Closest atoms and distances in Å follow each position.
Fractional positions:
Sr 0.3757 0.3757 0.3757  6 Sr 3.33-3.37
Sr 0.3757 0.3757 0.8728  6 Sr 3.33-3.37
Sr 0.3757 0.8728 0.3757  6 Sr 3.33-3.37
Sr 0.8728 0.3757 0.3757  6 Sr 3.33-3.37
Tl 0.0000 0.0000 0.0000  12 Sr 3.93, 4 Rh 4.10
Rh 0.7500 0.7500 0.7500  12 Sr 3.93, 4 Tl 4.10

Computed properties:
ΔE_f (eV/f.u.): 4.0
SG: F-43m, No. 216
VASP energy (eV per cell): -12.452